<w>
# RbTeSeBr2 | Alexandria | PBE-GGA | relaxed
# Total moment (μB/atom): 0.00
data_RbTeSeBr2
_symmetry_space_group_name_H-M 'P 4/m m m'
_symmetry_Int_Tables_number 123
_symmetry_space_group_name_Hall '-P 4 2'
_cell_length_a 5.775
_cell_length_b 5.775
_cell_length_c 5.493
_cell_angle_alpha 90.00
_cell_angle_beta 90.00
_cell_angle_gamma 90.00
loop_
_atom_site_label
_atom_site_fract_x
_atom_site_fract_y
_atom_site_fract_z
Rb1 0.000 0.000 0.000
Te1 0.500 0.500 0.500
Se1 0.500 0.500 0.000
Br1 0.000 0.500 0.500

=====

<x>
# RbTeSeBr2 | Alexandria | PBE-GGA | relaxed
# Total moment (μB/atom): 0.65
data_RbTeSeBr2
_symmetry_space_group_name_H-M 'P 4/m m m'
_symmetry_Int_Tables_number 123
_symmetry_space_group_name_Hall '-P 4 2'
_cell_length_a 6.292
_cell_length_b 6.292
_cell_length_c 6.419
_cell_angle_alpha 90.00
_cell_angle_beta 90.00
_cell_angle_gamma 90.00
loop_
_atom_site_label
_atom_site_fract_x
_atom_site_fract_y
_atom_site_fract_z
Rb1 0.000 0.000 0.000
Te1 0.500 0.500 0.500
Se1 0.000 0.000 0.500
Br1 0.000 0.500 0.000

=====

Stability ranking, top and bottom: <w> is the most stable and <x> is the least stable.

=====

<w>
# RbTiSeBr2 | Alexandria | PBE-GGA | relaxed
# Total moment (μB/atom): 0.20
data_RbTiSeBr2
_symmetry_space_group_name_H-M 'P 4/m m m'
_symmetry_Int_Tables_number 123
_symmetry_space_group_name_Hall '-P 4 2'
_cell_length_a 5.431
_cell_length_b 5.431
_cell_length_c 4.967
_cell_angle_alpha 90.00
_cell_angle_beta 90.00
_cell_angle_gamma 90.00
loop_
_atom_site_label
_atom_site_fract_x
_atom_site_fract_y
_atom_site_fract_z
Rb1 0.000 0.000 0.000
Ti1 0.500 0.500 0.500
Se1 0.500 0.500 0.000
Br1 0.000 0.500 0.500

=====

<x>
# RbTiSeBr2 | Alexandria | PBE-GGA | relaxed
# Total moment (μB/atom): 0.22
data_RbTiSeBr2
_symmetry_space_group_name_H-M 'P 4/m m m'
_symmetry_Int_Tables_number 123
_symmetry_space_group_name_Hall '-P 4 2'
_cell_length_a 6.592
_cell_length_b 6.592
_cell_length_c 4.669
_cell_angle_alpha 90.00
_cell_angle_beta 90.00
_cell_angle_gamma 90.00
loop_
_atom_site_label
_atom_site_fract_x
_atom_site_fract_y
_atom_site_fract_z
Rb1 0.000 0.000 0.000
Ti1 0.500 0.500 0.000
Se1 0.500 0.500 0.500
Br1 0.000 0.500 0.500

=====

<y>
# RbTiSeBr2 | Alexandria | PBE-GGA | relaxed
# Total moment (μB/atom): 0.19
data_RbTiSeBr2
_symmetry_space_group_name_H-M 'P 4/m m m'
_symmetry_Int_Tables_number 123
_symmetry_space_group_name_Hall '-P 4 2'
_cell_length_a 6.048
_cell_length_b 6.048
_cell_length_c 6.039
_cell_angle_alpha 90.00
_cell_angle_beta 90.00
_cell_angle_gamma 90.00
loop_
_atom_site_label
_atom_site_fract_x
_atom_site_fract_y
_atom_site_fract_z
Rb1 0.000 0.000 0.000
Ti1 0.500 0.500 0.500
Se1 0.000 0.000 0.500
Br1 0.000 0.500 0.000

=====

Stability ranking, top and bottom: <w> is the most stable and <y> is the least stable.

=====

<w>
# RbTiSe2Br | Alexandria | PBE-GGA | relaxed
# Total moment (μB/atom): 0.08
data_RbTiSe2Br
_symmetry_space_group_name_H-M 'P 4/m m m'
_symmetry_Int_Tables_number 123
_symmetry_space_group_name_Hall '-P 4 2'
_cell_length_a 5.696
_cell_length_b 5.696
_cell_length_c 5.874
_cell_angle_alpha 90.00
_cell_angle_beta 90.00
_cell_angle_gamma 90.00
loop_
_atom_site_label
_atom_site_fract_x
_atom_site_fract_y
_atom_site_fract_z
Rb1 0.000 0.000 0.000
Ti1 0.500 0.500 0.500
Se1 0.000 0.500 0.000
Br1 0.000 0.000 0.500

=====

<x>
# RbTiSe2Br | Alexandria | PBE-GGA | relaxed
# Total moment (μB/atom): 0.00
data_RbTiSe2Br
_symmetry_space_group_name_H-M 'P 4/m m m'
_symmetry_Int_Tables_number 123
_symmetry_space_group_name_Hall '-P 4 2'
_cell_length_a 4.998
_cell_length_b 4.998
_cell_length_c 5.521
_cell_angle_alpha 90.00
_cell_angle_beta 90.00
_cell_angle_gamma 90.00
loop_
_atom_site_label
_atom_site_fract_x
_atom_site_fract_y
_atom_site_fract_z
Rb1 0.000 0.000 0.000
Ti1 0.500 0.500 0.500
Se1 0.000 0.500 0.500
Br1 0.500 0.500 0.000

=====

Stability ranking, top and bottom: <x> is the most stable and <w> is the least stable.

=====

<w>
# Rb2TlSeBr6 | Alexandria | PBE-GGA | relaxed
# Total moment (μB/atom): 0.00
data_Rb2TlSeBr6
_symmetry_space_group_name_H-M 'I 4/m m m'
_symmetry_Int_Tables_number 139
_symmetry_space_group_name_Hall '-I 4 2'
_cell_length_a 8.170
_cell_length_b 8.170
_cell_length_c 11.333
_cell_angle_alpha 90.00
_cell_angle_beta 90.00
_cell_angle_gamma 90.00
loop_
_atom_site_label
_atom_site_fract_x
_atom_site_fract_y
_atom_site_fract_z
Rb1 0.000 0.500 0.250
Tl1 0.000 0.000 0.000
Se1 0.000 0.000 0.500
Br1 0.000 0.000 0.272
Br2 0.245 0.245 0.500

=====

<x>
# Rb2TlSeBr6 | Alexandria | PBE-GGA | relaxed
# Total moment (μB/atom): 0.00
data_Rb2TlSeBr6
_symmetry_space_group_name_H-M 'P 1 21/c 1'
_symmetry_Int_Tables_number 14
_cell_length_a 8.378
_cell_length_b 8.339
_cell_length_c 13.422
_cell_angle_alpha 90.00
_cell_angle_beta 124.51
_cell_angle_gamma 90.00
loop_
_symmetry_equiv_pos_as_xyz
'x,y,z'
'-x,-y,-z'
'-x,y+1/2,-z+1/2'
'x,-y+1/2,z+1/2'
loop_
_atom_site_label
_atom_site_fract_x
_atom_site_fract_y
_atom_site_fract_z
Rb1 0.216 0.061 0.236
Tl1 0.000 0.000 0.500
Se1 0.500 0.000 0.000
Br1 0.162 0.216 0.956
Br2 0.287 0.743 0.953
Br3 0.375 0.027 0.774

=====

Stability ranking, top and bottom: <x> is the most stable and <w> is the least stable.

=====

<w>
# RbWSe2Br | Alexandria | PBE-GGA | relaxed
# Total moment (μB/atom): 0.00
data_RbWSe2Br
_symmetry_space_group_name_H-M 'P 4/m m m'
_symmetry_Int_Tables_number 123
_symmetry_space_group_name_Hall '-P 4 2'
_cell_length_a 5.592
_cell_length_b 5.592
_cell_length_c 5.682
_cell_angle_alpha 90.00
_cell_angle_beta 90.00
_cell_angle_gamma 90.00
loop_
_atom_site_label
_atom_site_fract_x
_atom_site_fract_y
_atom_site_fract_z
Rb1 0.000 0.000 0.000
W1 0.500 0.500 0.500
Se1 0.000 0.500 0.000
Br1 0.000 0.000 0.500

=====

<x>
# RbWSe2Br | Alexandria | PBE-GGA | relaxed
# Total moment (μB/atom): 0.15
data_RbWSe2Br
_symmetry_space_group_name_H-M 'P 4/m m m'
_symmetry_Int_Tables_number 123
_symmetry_space_group_name_Hall '-P 4 2'
_cell_length_a 4.948
_cell_length_b 4.948
_cell_length_c 5.646
_cell_angle_alpha 90.00
_cell_angle_beta 90.00
_cell_angle_gamma 90.00
loop_
_atom_site_label
_atom_site_fract_x
_atom_site_fract_y
_atom_site_fract_z
Rb1 0.000 0.000 0.000
W1 0.500 0.500 0.500
Se1 0.000 0.500 0.500
Br1 0.500 0.500 0.000

=====

Stability ranking, top and bottom: <x> is the most stable and <w> is the least stable.

=====

<w>
# RbYSeBr2 | Alexandria | PBE-GGA | relaxed
# Total moment (μB/atom): 0.00
data_RbYSeBr2
_symmetry_space_group_name_H-M 'P 4/m m m'
_symmetry_Int_Tables_number 123
_symmetry_space_group_name_Hall '-P 4 2'
_cell_length_a 5.711
_cell_length_b 5.711
_cell_length_c 5.481
_cell_angle_alpha 90.00
_cell_angle_beta 90.00
_cell_angle_gamma 90.00
loop_
_atom_site_label
_atom_site_fract_x
_atom_site_fract_y
_atom_site_fract_z
Rb1 0.000 0.000 0.000
Y1 0.500 0.500 0.500
Se1 0.500 0.500 0.000
Br1 0.000 0.500 0.500

=====

<x>
# RbYSeBr2 | Alexandria | PBE-GGA | relaxed
# Total moment (μB/atom): 0.03
data_RbYSeBr2
_symmetry_space_group_name_H-M 'P 4/m m m'
_symmetry_Int_Tables_number 123
_symmetry_space_group_name_Hall '-P 4 2'
_cell_length_a 5.757
_cell_length_b 5.757
_cell_length_c 5.983
_cell_angle_alpha 90.00
_cell_angle_beta 90.00
_cell_angle_gamma 90.00
loop_
_atom_site_label
_atom_site_fract_x
_atom_site_fract_y
_atom_site_fract_z
Rb1 0.000 0.000 0.000
Y1 0.500 0.500 0.500
Se1 0.000 0.000 0.500
Br1 0.000 0.500 0.000

=====

Stability ranking, top and bottom: <w> is the most stable and <x> is the least stable.